1.
A plane-wave DFT calculation with PBEsol was carried out for a relaxed structure of MgAl2W.

a b c (Å): 7.109 7.109 5.534
angles (deg): 90.00 90.00 90.00
Space group I-42d (No. 122)
Asymmetric unit:
Mg: 0.000 0.000 0.000
Al: 0.243 0.250 0.625
W: 0.000 0.000 0.500

Total DFT energy (no corrections) ... -5.226 eV/atom

2.
A plane-wave DFT calculation with PBEsol was carried out for a relaxed structure of NaCuN3.

a b c (Å): 3.805 3.805 3.805
angles (deg): 90.00 90.00 90.00
Space group Pm-3m (No. 221)
Asymmetric unit:
Na: 0.000 0.000 0.000
Cu: 0.500 0.500 0.500
N: 0.000 0.500 0.500

E_form (uncorrected) ... 8.2 eV/f.u.

3.
A plane-wave DFT calculation with PBEsol was carried out for a relaxed structure of CdB3F.

a b c (Å): 4.346 4.346 4.346
angles (deg): 90.00 90.00 90.00
Space group Pm-3m (No. 221)
Asymmetric unit:
Cd: 0.000 0.000 0.000
B: 0.000 0.000 0.500
F: 0.500 0.500 0.500

E_form (uncorrected) ... 10.4 eV/f.u.

4.
A plane-wave DFT calculation with PBEsol was carried out for a relaxed structure of CeIn2Ru.

a b c (Å): 4.722 9.768 7.437
angles (deg): 90.00 90.00 90.00
Space group Cmcm (No. 63)
Asymmetric unit:
Ce: 0.000 0.061 0.250
In: 0.000 0.353 0.044
Ru: 0.000 0.168 0.750

Total DFT energy (no corrections) ... -6.124 eV/atom

5.
A plane-wave DFT calculation with PBEsol was carried out for a relaxed structure of CdIrSe2.

a b c (Å): 4.424 4.436 4.824
angles (deg): 90.00 90.00 90.00
Space group Pmm2 (No. 25)
Asymmetric unit:
Cd: 0.000 0.000 0.000
Ir: 0.500 0.500 0.501
Se: 0.000 0.500 0.310
Se: 0.500 0.000 0.688

E_form (uncorrected) ... 0.0 eV/f.u.

6.
A plane-wave DFT calculation with PBEsol was carried out for a relaxed structure of Na2Ta4O11.

a b c (Å): 6.2036 6.2036 36.7862
angles (deg): 90.00 90.00 120.00
Space group R-3c (No. 167, hexagonal axes)
Asymmetric unit:
Na: 0.0000 0.0000 0.1660
Ta: 0.0000 0.0000 0.0000
Ta: 0.0000 0.3654 0.2500
O: 0.0000 0.0000 0.0944
O: 0.0000 0.2501 0.7500
O: 0.0307 0.2768 0.5307

E_form (uncorrected) ... -46.9 eV/f.u.

7.
A plane-wave DFT calculation with PBEsol was carried out for a relaxed structure of YGa2.

a b c (Å): 4.1549 4.1549 4.0435
angles (deg): 90.00 90.00 120.00
Space group P6/mmm (No. 191)
Asymmetric unit:
Y: 0.0000 0.0000 0.0000
Ga: 0.3333 0.6667 0.5000

Total DFT energy (no corrections) ... -5.226 eV/atom

8.
A plane-wave DFT calculation with PBEsol was carried out for a relaxed structure of InCoF3.

a b c (Å): 4.078 4.078 4.078
angles (deg): 90.00 90.00 90.00
Space group Pm-3m (No. 221)
Asymmetric unit:
In: 0.000 0.000 0.000
Co: 0.500 0.500 0.500
F: 0.000 0.500 0.500

E_form (uncorrected) ... -7.9 eV/f.u.